# MnCu14Rh

A relaxed structure of MnCu14Rh (PBE, the Alexandria database).

## Properties
Its formation energy is 26 kJ/mol of formula units. The value obtained for the volume is 12.3 Å³ per atom. The space group is No. 38. For the total DFT energy (no corrections), the calculation gives -73.6 eV for the cell shown. Its total magnetization is 4.14 μB per cell.

Cell lengths 5.1916, 5.1916, 8.4552 Å; angles 90.00, 90.00, 120.41 degrees
Each line ends with the local moment (μB).
Positions (direct):
Cu (0.7101, 0.2899, 0.0000)  -0.01
Cu (0.8756, 0.6253, 0.2447)  0.03
Cu (0.3733, 0.6267, 0.2475)  -0.01
Cu (0.8756, 0.6253, 0.7553)  0.03
Cu (0.5424, 0.9592, 0.5000)  0.06
Cu (0.8741, 0.1259, 0.7517)  0.02
Cu (0.2091, 0.7909, 0.0000)  -0.01
Cu (0.2078, 0.2912, 0.0000)  0.00
Cu (0.3747, 0.1244, 0.2447)  0.03
Cu (0.3747, 0.1244, 0.7553)  0.03
Cu (0.8741, 0.1259, 0.2483)  0.02
Cu (0.3733, 0.6267, 0.7525)  -0.01
Cu (0.7088, 0.7922, 0.0000)  0.00
Cu (0.0408, 0.4576, 0.5000)  0.06
Mn (0.0438, 0.9562, 0.5000)  3.64
Rh (0.5417, 0.4583, 0.5000)  0.18